Entry from the Alexandria database: an optimized crystal structure of Pr3PPbCl (PBE).

Computed properties:
* space group: P2_1/m
* formation energy from raw total energies: -1.19 eV per atom

a b c (Å): 4.2309 7.4725 11.5066
angles (deg): 101.91 90.00 90.00
Positions (direct):
Pb 0.7500 0.6544 0.6937
Pr 0.7500 0.2685 0.5028
Pr 0.7500 0.5481 0.1496
Pb 0.2500 0.3456 0.3063
Cl 0.7500 0.8756 0.3632
Pr 0.2500 0.9591 0.8570
Cl 0.2500 0.1244 0.6368
Pr 0.7500 0.0409 0.1430
Pr 0.2500 0.4519 0.8504
P 0.2500 0.7654 0.0569
P 0.7500 0.2346 0.9431
Pr 0.2500 0.7315 0.4972